9
Lattice="0.317 -2.250 -3.000 5.107 -5.775 4.870 -8.188 -3.424 4.064" Properties=species:S:1:pos:R:3 comment="Ac3Nd2Dy4 | Alexandria | PBE-GGA | optimized geometry" ef_ev_per_atom=0.052 pbc="T T T"
Dy -1.805 -3.942 2.766
Ac 0.000 0.000 0.000
Dy -3.663 -7.865 5.512
Nd -0.215 -8.752 6.541
Dy -0.960 -7.507 3.168
Ac -4.348 -6.595 2.126
Ac 1.583 -4.855 3.808
Dy 0.898 -3.584 0.422
Nd -2.550 -2.697 -0.607


4
Lattice="-2.491 -0.713 -2.666 -2.049 -3.099 0.151 -9.762 4.485 5.330" Properties=species:S:1:pos:R:3 comment="AcNdDy2 | Alexandria | PBE-GGA | optimized geometry" ef_ev_per_atom=0.042 relative_energy_mev_per_atom=0.0 pbc="T T T"
Ac -7.152 0.337 1.407
Nd 0.000 0.000 0.000
Dy -3.527 0.134 0.667
Dy -10.776 0.539 2.148


7
Lattice="6.170 0.000 0.000 3.085 4.859 -1.173 0.000 -2.235 9.235" Properties=species:S:1:pos:R:3 comment="Ac2Nd4Dy | Alexandria | PBE-GGA | optimized geometry" ef_ev_per_atom=0.110 relative_energy_mev_per_atom=0.0 pbc="T T T"
Nd 6.170 0.465 3.542
Nd 3.085 -1.025 6.352
Ac 6.170 0.809 7.270
Nd 3.085 2.159 4.520
Nd 6.170 3.650 1.709
Dy 0.000 0.000 0.000
Ac 3.085 1.816 0.791


4
Lattice="-2.973 2.116 0.686 -1.088 0.595 3.499 5.634 10.547 1.930" Properties=species:S:1:pos:R:3 comment="AcNdDy2 | Alexandria | PBE-GGA | optimized geometry" ef_ev_per_atom=0.059 relative_energy_mev_per_atom=16.8 pbc="T T T"
Nd -2.703 1.813 2.790
Ac 0.780 6.619 3.057
Dy 3.950 8.223 1.801
Dy 0.334 3.232 1.524


14
Lattice="6.981 0.801 0.000 -2.722 6.478 0.000 0.000 0.000 10.840" Properties=species:S:1:pos:R:3 comment="AcNd2Dy4 | Alexandria | PBE-GGA | optimized geometry" ef_ev_per_atom=0.273 relative_energy_mev_per_atom=71.3 pbc="T T T"
Nd 4.217 2.423 0.000
Nd 4.213 2.416 5.420
Dy -1.361 3.239 8.127
Dy 3.382 5.783 0.000
Nd 0.046 4.863 5.420
Nd 0.042 4.856 0.000
Dy -1.361 3.239 2.713
Dy 3.490 0.401 8.133
Dy 0.875 1.498 5.420
Dy 0.877 1.496 0.000
Ac 2.130 3.639 8.130
Ac 2.130 3.639 2.710
Dy 3.490 0.401 2.707
Dy 3.384 5.781 5.420


12
Lattice="-5.044 7.726 0.873 4.464 -4.499 -6.762 -4.487 -8.108 -0.144" Properties=species:S:1:pos:R:3 comment="Ac3Nd8Dy | Alexandria | PBE-GGA | optimized geometry" ef_ev_per_atom=0.248 pbc="T T T"
Dy 0.000 0.000 0.000
Nd -1.505 -2.200 -2.137
Nd -3.549 4.736 0.167
Ac -4.769 -1.847 -0.542
Nd -3.208 -8.138 -3.130
Nd -1.864 0.697 -4.304
Nd -3.356 -4.731 -3.274
Ac -0.012 -6.303 -3.453
Nd -1.356 -10.520 -4.551
Ac -0.298 -3.034 -5.490
Nd -1.707 2.410 -1.356
Nd -3.724 -1.777 -5.544


8
Lattice="5.168 0.000 -1.002 -0.194 5.164 -1.002 -0.601 -0.624 10.726" Properties=species:S:1:pos:R:3 comment="Ac2NdDy5 | Alexandria | PBE-GGA | optimized geometry" ef_ev_per_atom=0.051 pbc="T T T"
Nd 0.000 0.000 0.000
Ac 0.944 0.980 4.868
Dy 2.487 2.582 -1.002
Dy 1.340 4.075 6.911
Dy 0.351 3.048 1.810
Ac 3.429 3.560 3.854
Dy 3.032 0.465 1.810
Dy 4.021 1.492 6.911


10
Lattice="5.327 0.000 1.217 1.809 9.856 4.349 0.728 4.173 9.083" Properties=species:S:1:pos:R:3 comment="Ac5NdDy4 | Alexandria | PBE-GGA | optimized geometry" ef_ev_per_atom=0.046 pbc="T T T"
Dy 3.995 4.462 7.049
Dy 3.869 9.567 7.599
Ac 4.536 7.283 4.681
Ac 4.660 2.255 4.137
Ac 1.268 7.015 6.716
Ac 3.204 11.774 10.512
Dy 1.932 4.776 3.813
Dy 5.932 9.253 10.836
Ac 3.328 6.746 9.967
Nd 0.000 0.000 0.000


6
Lattice="-6.991 -0.131 1.519 -4.774 -1.110 -5.214 -3.610 -6.172 -0.292" Properties=species:S:1:pos:R:3 comment="Ac4NdDy | Alexandria | PBE-GGA | optimized geometry" ef_ev_per_atom=0.355 relative_energy_mev_per_atom=313.0 pbc="T T T"
Ac -7.220 -4.080 0.124
Ac -6.107 -4.571 -3.257
Nd -3.844 -1.853 -0.997
Ac -7.805 -1.537 -2.347
Dy 0.000 0.000 0.000
Ac -9.618 -4.637 -2.494


19
Lattice="8.831 -0.221 -1.270 -1.434 8.716 -1.270 -0.192 -0.221 8.919" Properties=species:S:1:pos:R:3 comment="AcNd12Dy6 | Alexandria | PBE-GGA | optimized geometry" ef_ev_per_atom=0.189 relative_energy_mev_per_atom=53.3 pbc="T T T"
Nd 3.924 1.821 5.831
Ac 0.000 0.000 0.000
Nd 4.605 5.289 6.561
Nd 2.600 2.986 -0.181
Dy 5.642 0.720 -0.056
Dy -0.063 5.687 -0.056
Dy 6.577 7.555 0.773
Nd 7.070 5.289 3.777
Nd 0.942 6.454 3.190
Nd 3.280 6.454 0.549
Nd 4.266 7.730 3.777
Dy 0.627 0.720 5.607
Nd 5.941 4.137 0.549
Nd 0.135 2.986 2.603
Nd 2.939 0.545 2.603
Nd 6.263 1.821 3.190
Dy 1.563 7.555 6.436
Nd 1.264 4.137 5.831
Dy 7.268 2.588 6.436


11
Lattice="9.586 -2.449 2.040 -2.850 5.499 2.307 4.938 3.560 13.530" Properties=species:S:1:pos:R:3 comment="Ac6Nd3Dy2 | Alexandria | PBE-GGA | optimized geometry" ef_ev_per_atom=0.048 pbc="T T T"
Ac 7.305 4.629 10.752
Ac 2.183 5.116 6.457
Dy 3.006 2.715 3.589
Nd 3.572 4.256 10.061
Ac 2.828 6.622 12.895
Ac 8.845 -0.012 4.982
Nd 8.102 2.353 7.816
Ac 9.490 1.494 11.420
Nd 0.000 0.000 0.000
Dy 8.667 3.895 14.288
Ac 4.368 1.980 7.125


7
Lattice="5.735 0.000 0.000 0.000 5.735 0.000 -2.867 -2.867 9.178" Properties=species:S:1:pos:R:3 comment="Ac2Nd4Dy | Alexandria | PBE-GGA | optimized geometry" ef_ev_per_atom=0.564 relative_energy_mev_per_atom=454.4 pbc="T T T"
Nd 2.867 0.000 0.000
Ac 2.867 2.867 2.343
Nd 2.867 2.867 5.974
Nd 0.000 2.867 0.000
Nd 0.000 0.000 3.204
Dy 0.000 0.000 0.000
Ac 0.000 0.000 6.835